Record 1
Computed, not measured: an optimized crystal structure of Er8Te4P3N at the PBE level of DFT.

Cell: 7.9900 7.9900 20.8703 Å, 90.00 90.00 120.00°
Closest atoms and distances in Å follow each position.
Space group R-3m (No. 166, hexagonal axes)
Symmetry-distinct sites (fractional):
Er  0.0000  0.0000  0.2361 (multiplicity 6)  3 P 2.72
Er  0.0212  0.5106  0.2326 (multiplicity 18)  1 N 2.56, 2 P 2.75
Te  0.0000  0.0000  0.0000 (multiplicity 3)  6 Er 3.23
Te  0.0000  0.5000  0.0000 (multiplicity 9)  6 Er 3.07
P  0.0000  0.5000  0.5000 (multiplicity 9)  6 Er 2.72-2.75
N  0.0000  0.0000  0.5000 (multiplicity 3)  6 Er 2.56

## Properties
The value obtained for the calculated volume is 24.0 Å³ per atom. The value obtained for the total energy is -290.8 eV per cell.

---

Record 2
Computed, not measured: an optimized crystal structure of ErThPN at the PBE level of DFT.

Cell: 4.3514 4.3514 9.0094 Å, 90.00 90.00 90.00°
Closest atoms and distances in Å follow each position.
Space group P4/nmm (No. 129, origin choice 2)
Symmetry-distinct sites (fractional):
Er  0.2500  0.7500  0.0000 (multiplicity 2)  4 P 2.74
Th  0.2500  0.2500  0.3867 (multiplicity 2)  4 N 2.40
P  0.2500  0.2500  0.8154 (multiplicity 2)  4 Er 2.74
N  0.2500  0.7500  0.5000 (multiplicity 2)  4 Th 2.40

## Properties
The value obtained for the calculated volume is 21.3 Å³ per atom. The value obtained for the total energy is -61.6 eV per cell.

---

Record 3
Computed, not measured: an optimized crystal structure of Er2TlP2N6 at the PBE level of DFT.

Cell: 11.2748 6.2116 6.3559 Å, 90.00 121.34 90.00°
Closest atoms and distances in Å follow each position.
Space group C2/m (No. 12)
Symmetry-distinct sites (fractional):
Er  0.1748  0.0000  0.3023 (multiplicity 4)  4 N 2.23-2.35
Tl  0.0000  0.5000  0.0000 (multiplicity 2)  8 N 3.21-3.39, 2 P 3.35
P  0.1545  0.0000  0.7447 (multiplicity 4)  3 N 1.57-1.58
N  0.0660  0.0000  0.8702 (multiplicity 4)  1 P 1.57
N  0.1985  0.2107  0.6633 (multiplicity 8)  1 P 1.58

## Properties
The value obtained for the calculated volume is 17.3 Å³ per atom. The value obtained for the total energy is -157.7 eV per cell.

---

Record 4
Computed, not measured: an optimized crystal structure of ErUPN2 at the PBE level of DFT.

Cell: 3.7602 3.7602 11.6314 Å, 90.00 90.00 90.00°
Closest atoms and distances in Å follow each position.
Space group I4mm (No. 107)
Symmetry-distinct sites (fractional):
Er  0.0000  0.0000  0.0000 (multiplicity 2)  4 N 2.27
U  0.0000  0.0000  0.3044 (multiplicity 2)  4 N 2.13
P  0.0000  0.0000  0.6609 (multiplicity 2)  4 U 3.14, 4 Er 3.25, 4 N 3.27
N  0.0000  0.5000  0.3914 (multiplicity 4)  2 U 2.13, 2 Er 2.27

## Properties
The value obtained for the calculated volume is 16.4 Å³ per atom. The value obtained for the total energy is -88.9 eV per cell.

---

Record 5
Computed, not measured: an optimized crystal structure of Er2PaN4 at the PBE level of DFT.

Cell: 5.8354 9.7130 3.5592 Å, 90.00 90.00 90.00°
Closest atoms and distances in Å follow each position.
Space group Pbam (No. 55)
Symmetry-distinct sites (fractional):
Er  0.0598  0.1749  0.0000 (multiplicity 4)  6 N 2.28-2.48
Pa  0.0000  0.5000  0.5000 (multiplicity 2)  6 N 2.19-2.30
N  0.1583  0.7043  0.5000 (multiplicity 4)  1 Pa 2.19, 2 Er 2.44
N  0.2409  0.4602  0.0000 (multiplicity 4)  2 Er 2.28-2.39, 2 Pa 2.30

## Properties
The value obtained for the calculated volume is 14.4 Å³ per atom. The value obtained for the total energy is -125.1 eV per cell.

---

Record 6
Computed, not measured: an optimized crystal structure of ErPaN3 at the PBE level of DFT.

Cell: 13.3145 3.9170 6.5903 Å, 90.00 109.72 90.00°
Closest atoms and distances in Å follow each position.
Space group C2/m (No. 12)
Symmetry-distinct sites (fractional):
Er  0.1479  0.0000  0.3328 (multiplicity 4)  4 N 2.31-2.39
Pa  0.1330  0.5000  0.8539 (multiplicity 4)  6 N 2.19-2.45
N  0.0357  0.5000  0.1101 (multiplicity 4)  1 N 1.44
N  0.1680  0.5000  0.5519 (multiplicity 4)  1 Pa 2.19, 3 Er 2.31-2.39
N  0.1814  0.0000  0.0090 (multiplicity 4)  3 Pa 2.20-2.33, 1 Er 2.32

## Properties
The value obtained for the calculated volume is 16.2 Å³ per atom. The value obtained for the total energy is -183.3 eV per cell.